Entry from the Alexandria database: a relaxed AlH4Pd6 crystal (PBE).

```
data_AlH4Pd6
_chemical_formula_sum 'Al2 H8 Pd12'
_cell_length_a 3.6800
_cell_length_b 13.9478
_cell_length_c 5.0286
_cell_angle_alpha 90.00
_cell_angle_beta 111.38
_cell_angle_gamma 90.00
_space_group_name_H-M_alt 'P 1'
_space_group_IT_number 1
loop_
_space_group_symop_operation_xyz
'x,y,z'
loop_
_atom_site_label
_atom_site_fract_x
_atom_site_fract_y
_atom_site_fract_z
Al1 0.1895 0.2500 0.3688
Al2 0.8105 0.7500 0.6312
H1 0.0845 0.1212 0.8457
H2 0.0845 0.3788 0.8457
H3 0.4505 0.0377 0.2883
H4 0.4505 0.4623 0.2883
H5 0.5495 0.5377 0.7117
H6 0.5495 0.9623 0.7117
H7 0.9155 0.6212 0.1543
H8 0.9155 0.8788 0.1543
Pd1 0.0000 0.0000 0.0000
Pd2 0.0000 0.5000 0.0000
Pd3 0.1189 0.7500 0.2416
Pd4 0.2822 0.0804 0.5813
Pd5 0.2822 0.4196 0.5813
Pd6 0.4221 0.6491 0.8446
Pd7 0.4221 0.8509 0.8446
Pd8 0.5779 0.1491 0.1554
Pd9 0.5779 0.3509 0.1554
Pd10 0.7178 0.5804 0.4187
Pd11 0.7178 0.9196 0.4187
Pd12 0.8811 0.2500 0.7584
```

Properties
Space group: P2_1/m
Calculated total energy in eV per atom: -4.6536
Total magnetic moment in μB per formula unit: 0.00



Entry from the Alexandria database: a relaxed Al2HPd crystal (PBE).

```
data_Al2HPd
_chemical_formula_sum 'Al2 H1 Pd1'
_cell_length_a 7.6833
_cell_length_b 7.6833
_cell_length_c 7.6833
_cell_angle_alpha 21.96
_cell_angle_beta 21.96
_cell_angle_gamma 21.96
_space_group_name_H-M_alt 'P 1'
_space_group_IT_number 1
loop_
_space_group_symop_operation_xyz
'x,y,z'
loop_
_atom_site_label
_atom_site_fract_x
_atom_site_fract_y
_atom_site_fract_z
Al1 0.0784 0.0784 0.0784
Al2 0.9216 0.9216 0.9216
H1 0.0000 0.0000 0.0000
Pd1 0.5000 0.5000 0.5000
```

Properties
Space group: R-3m
Calculated total energy in eV per atom: -4.2345
Total magnetic moment in μB per formula unit: 0.00



Entry from the Alexandria database: a relaxed PmAlHPd crystal (PBE).

```
data_PmAlHPd
_chemical_formula_sum 'Pm2 Al2 H2 Pd2'
_cell_length_a 4.1559
_cell_length_b 4.1559
_cell_length_c 7.7609
_cell_angle_alpha 90.00
_cell_angle_beta 90.00
_cell_angle_gamma 90.00
_space_group_name_H-M_alt 'P 1'
_space_group_IT_number 1
loop_
_space_group_symop_operation_xyz
'x,y,z'
loop_
_atom_site_label
_atom_site_fract_x
_atom_site_fract_y
_atom_site_fract_z
Pm1 0.2500 0.2500 0.1457
Pm2 0.7500 0.7500 0.8543
Al1 0.2500 0.7500 0.5000
Al2 0.7500 0.2500 0.5000
H1 0.2500 0.7500 0.0000
H2 0.7500 0.2500 0.0000
Pd1 0.2500 0.2500 0.6871
Pd2 0.7500 0.7500 0.3129
```

Properties
Space group: P4/nmm
Calculated total energy in eV per atom: -5.0023
Total magnetic moment in μB per formula unit: 0.00



Entry from the Alexandria database: a relaxed PmAlHPd2 crystal (PBE).

```
data_PmAlHPd2
_chemical_formula_sum 'Pm2 Al2 H2 Pd4'
_cell_length_a 5.8923
_cell_length_b 5.8923
_cell_length_c 7.4621
_cell_angle_alpha 90.00
_cell_angle_beta 90.00
_cell_angle_gamma 141.74
_space_group_name_H-M_alt 'P 1'
_space_group_IT_number 1
loop_
_space_group_symop_operation_xyz
'x,y,z'
loop_
_atom_site_label
_atom_site_fract_x
_atom_site_fract_y
_atom_site_fract_z
Pm1 0.0557 0.9443 0.7500
Pm2 0.9443 0.0557 0.2500
Al1 0.2252 0.7748 0.2500
Al2 0.7748 0.2252 0.7500
H1 0.5000 0.5000 0.0000
H2 0.5000 0.5000 0.5000
Pd1 0.3431 0.6569 0.5548
Pd2 0.3431 0.6569 0.9452
Pd3 0.6569 0.3431 0.0548
Pd4 0.6569 0.3431 0.4452
```

Properties
Space group: Cmcm
Calculated total energy in eV per atom: -5.2336
Total magnetic moment in μB per formula unit: 0.00



Question: Among the records above, which one has the lowest calculated total energy?
Answer: PmAlHPd2



Question: Which formula does entry 1 have?
Answer: AlH4Pd6



Question: Look up the total magnetic moment of the first one.
Answer: 0.00 μB per formula unit



Question: Look up the total magnetic moment of the second one.
Answer: 0.00 μB per formula unit